A plane-wave DFT calculation with PBE was carried out for a relaxed CuHPdAu2 crystal.

extended XYZ file:
```
5
Lattice="4.1304 0.0000 0.0000 0.0000 4.1304 0.0000 0.0000 0.0000 3.9275" Properties=species:S:1:pos:R:3 pbc="T T T"
H 0.0000 0.0000 0.0000
Au 0.0000 2.0652 0.0000
Au 2.0652 0.0000 0.0000
Cu 0.0000 0.0000 1.9638
Pd 2.0652 2.0652 1.9638
```

Results
**ΔE to the lowest computed polymorph**: 36.4 kJ/mol of formula units
**Space-group type**: P4/mmm
**Mass density**: 14.00 g cm⁻³

***

A plane-wave DFT calculation with PBE was carried out for a relaxed CuHPd2Au crystal.

extended XYZ file:
```
5
Lattice="-2.7839 1.2802 2.5074 0.2760 -3.3851 2.0348 2.9130 1.6693 2.3819" Properties=species:S:1:pos:R:3 pbc="T T T"
H 0.0000 0.0000 0.0000
Au 1.4565 0.8347 1.1909
Cu 0.2026 -0.2178 3.4621
Pd 0.1380 -1.6926 1.0174
Pd -1.3919 0.6401 1.2537
```

Results
**ΔE to the lowest computed polymorph**: 26.7 kJ/mol of formula units
**Space-group type**: P4/mmm
**Mass density**: 12.21 g cm⁻³

***

A plane-wave DFT calculation with PBE was carried out for a relaxed CuHPt2Au crystal.

extended XYZ file:
```
5
Lattice="4.6182 0.0000 0.0000 0.0000 4.7483 0.0000 0.0000 0.0000 4.6182" Properties=species:S:1:pos:R:3 pbc="T T T"
H 2.3091 2.3741 2.3091
Au 0.0000 2.3741 0.0000
Cu 0.0000 0.0000 0.0000
Pt 0.0000 0.0000 2.3091
Pt 2.3091 0.0000 0.0000
```

Results
**ΔE to the lowest computed polymorph**: 689.5 kJ/mol of formula units
**Space-group type**: P4/mmm
**Mass density**: 10.69 g cm⁻³

***

A plane-wave DFT calculation with PBE was carried out for a relaxed Cu2HPtAu crystal.

extended XYZ file:
```
5
Lattice="-3.2331 -1.8111 -1.6204 2.0751 -0.6539 -3.4096 1.1590 -3.2595 1.3306" Properties=species:S:1:pos:R:3 pbc="T T T"
H 0.0000 0.0000 0.0000
Au 0.0005 -2.8623 -1.8497
Cu 1.0376 -0.3270 -1.7048
Cu -1.6166 -0.9055 -0.8102
Pt 0.5795 -1.6298 0.6653
```

Results
**ΔE to the lowest computed polymorph**: 0.0 kJ/mol of formula units
**Space-group type**: P4/mmm
**Mass density**: 14.24 g cm⁻³

***

A plane-wave DFT calculation with PBE was carried out for a relaxed CuHPt2Au crystal.

extended XYZ file:
```
5
Lattice="-3.5550 1.7119 0.3546 -1.3937 -2.2901 -2.9167 -1.0993 -2.8562 2.7678" Properties=species:S:1:pos:R:3 pbc="T T T"
H 0.0000 0.0000 0.0000
Au -3.0240 -1.7172 0.1028
Cu -0.5496 -1.4281 1.3839
Pt -0.6969 -1.1450 -1.4584
Pt -1.7775 0.8560 0.1773
```

Results
**ΔE to the lowest computed polymorph**: 0.0 kJ/mol of formula units
**Space-group type**: P4/mmm
**Mass density**: 16.71 g cm⁻³

***

A plane-wave DFT calculation with PBE was carried out for a relaxed CuHPtAu crystal.

extended XYZ file:
```
4
Lattice="3.4480 0.0000 0.0000 0.0000 2.8872 0.0000 -1.7240 -1.4436 4.9742" Properties=species:S:1:pos:R:3 pbc="T T T"
Cu 0.0000 0.0000 2.8874
H 0.0000 1.4436 1.6942
Pt 1.7240 1.4436 1.2561
Au 1.7240 1.4436 4.3587
```

Results
**E_tot**: -4.179 eV per atom
**Space-group type**: Imm2
**Mass density**: 15.31 g cm⁻³